Record 1
A relaxed Li4SmPu3S8 crystal. Source: Alexandria via LeMat-Bulk, functional PBE-GGA.

Properties
- Magnetization: 0.94 μB per atom

Cell lengths 7.9533, 7.6558, 7.9523 Å; angles 121.31, 120.00, 90.00 degrees
Site moments in Bohr magnetons follow the coordinates.
Fractional positions:
Li1 0.5000 0.0000 0.0000  0.00
Li2 0.5000 0.0000 0.5000  0.00
Li3 0.0000 0.0000 0.0000  0.00
Li4 0.0000 0.0000 0.5000  0.00
Sm1 0.0000 0.5000 0.0000  0.07
Pu1 0.5000 0.5000 0.0000  5.03
Pu2 0.5000 0.5000 0.5000  5.03
Pu3 0.0000 0.5000 0.5000  5.03
S1 0.2530 0.7534 0.0006  -0.07
S2 0.2530 0.7534 0.5059  -0.07
S3 0.2509 0.2529 0.5018  -0.11
S4 0.7477 0.7534 0.0006  -0.07
S5 0.2523 0.2466 0.9994  -0.07
S6 0.7491 0.7471 0.4982  -0.11
S7 0.7470 0.2466 0.4941  -0.07
S8 0.7470 0.2466 0.9994  -0.07

***

Record 2
A relaxed LiSmPuS3 crystal. Source: Alexandria via LeMat-Bulk, functional PBE-GGA.

Properties
- Magnetization: 0.95 μB per atom

Cell lengths 3.8659, 8.1494, 8.4730 Å; angles 101.38, 90.00, 90.00 degrees
Site moments in Bohr magnetons follow the coordinates.
Fractional positions:
Li1 0.2500 0.0880 0.5820  0.01
Li2 0.7500 0.9120 0.4180  0.01
Sm1 0.2500 0.1774 0.2171  0.08
Sm2 0.7500 0.8226 0.7829  0.08
Pu1 0.2500 0.6617 0.1709  5.35
Pu2 0.7500 0.3383 0.8291  5.35
S1 0.7500 0.9038 0.1347  -0.04
S2 0.2500 0.0962 0.8653  -0.04
S3 0.2500 0.7892 0.5127  -0.02
S4 0.7500 0.2108 0.4873  -0.02
S5 0.7500 0.4177 0.1652  -0.07
S6 0.2500 0.5823 0.8348  -0.07

***

Record 3
A relaxed LiSm4Pu3S8 crystal. Source: Alexandria via LeMat-Bulk, functional PBE-GGA.

Properties
- Magnetization: 1.08 μB per atom

Cell lengths 7.9515, 7.9476, 7.9517 Å; angles 120.02, 120.00, 90.00 degrees
Site moments in Bohr magnetons follow the coordinates.
Fractional positions:
Li1 0.0000 0.5000 0.0000  0.00
Sm1 0.5000 0.0000 0.0000  0.13
Sm2 0.5000 0.0000 0.5000  0.05
Sm3 0.0000 0.0000 0.0000  0.05
Sm4 0.0000 0.0000 0.5000  0.05
Pu1 0.5000 0.5000 0.0000  5.34
Pu2 0.5000 0.5000 0.5000  5.34
Pu3 0.0000 0.5000 0.5000  5.34
S1 0.2459 0.7435 0.9976  -0.04
S2 0.2460 0.7436 0.4919  -0.04
S3 0.2520 0.2561 0.5041  -0.07
S4 0.7517 0.7435 0.9976  -0.04
S5 0.2483 0.2565 0.0024  -0.04
S6 0.7480 0.7439 0.4959  -0.07
S7 0.7540 0.2564 0.5081  -0.04
S8 0.7541 0.2565 0.0024  -0.04

***

Number 1: raw total energy -7.13 eV per atom. Number 2: raw total energy -7.25 eV per atom. Number 3: raw total energy -7.93 eV per atom.